Entry 1:
This record from Alexandria describes an optimized crystal structure of SeCl3. The functional is PBE.

**Total DFT energy (no corrections)**: -2.164 eV/atom
**D(E_F)**: 3.0 states/eV/f.u.
**Symmetry**: P6_3/mmc (194)

a b c (Å): 10.3036 10.3036 3.2990
angles (deg): 90.00 90.00 120.00
Positions (direct):
Se: 0.3333 0.6667 0.2500
Se: 0.6667 0.3333 0.7500
Cl: 0.2232 0.4464 0.7500
Cl: 0.2232 0.7768 0.7500
Cl: 0.4464 0.2232 0.2500
Cl: 0.5536 0.7768 0.7500
Cl: 0.7768 0.2232 0.2500
Cl: 0.7768 0.5536 0.2500

Entry 2:
This record from Alexandria describes an optimized crystal structure of SeCl. The functional is PBE.

**Total DFT energy (no corrections)**: -1.872 eV/atom
**D(E_F)**: 3.2 states/eV/f.u.
**Symmetry**: Pm-3n (223)

a b c (Å): 7.7676 7.7676 7.7676
angles (deg): 90.00 90.00 90.00
Positions (direct):
Se: 0.0000 0.2500 0.5000
Se: 0.0000 0.7500 0.5000
Se: 0.2500 0.5000 0.0000
Se: 0.5000 0.0000 0.2500
Se: 0.5000 0.0000 0.7500
Se: 0.7500 0.5000 0.0000
Cl: 0.0000 0.5000 0.2500
Cl: 0.0000 0.5000 0.7500
Cl: 0.2500 0.0000 0.5000
Cl: 0.5000 0.2500 0.0000
Cl: 0.5000 0.7500 0.0000
Cl: 0.7500 0.0000 0.5000

Entry 3:
This record from Alexandria describes an optimized crystal structure of SeCl. The functional is PBE.

**Total DFT energy (no corrections)**: -2.502 eV/atom
**D(E_F)**: 1.5 states/eV/f.u.
**Symmetry**: P6_3mc (186)

a b c (Å): 3.4526 3.4526 9.8386
angles (deg): 90.00 90.00 120.00
Positions (direct):
Se: 0.3333 0.6667 0.0000
Se: 0.6667 0.3333 0.5000
Cl: 0.3333 0.6667 0.7804
Cl: 0.6667 0.3333 0.2804

Entry 4:
This record from Alexandria describes an optimized crystal structure of SeCl. The functional is PBE.

**Total DFT energy (no corrections)**: -2.557 eV/atom
**Symmetry**: P-3m1 (164)

a b c (Å): 3.6524 3.6524 9.1667
angles (deg): 90.00 90.00 120.00
Positions (direct):
Se: 0.3333 0.6667 0.0888
Se: 0.6667 0.3333 0.9112
Cl: 0.3333 0.6667 0.7045
Cl: 0.6667 0.3333 0.2955

Entry 5:
This record from Alexandria describes an optimized crystal structure of SeCl3. The functional is PBE.

**Total DFT energy (no corrections)**: -2.046 eV/atom
**D(E_F)**: 1.6 states/eV/f.u.
**Symmetry**: R-3m (166)

a b c (Å): 12.0627 12.0627 12.0627
angles (deg): 15.78 15.78 15.78
Positions (direct):
Se: 0.0000 0.0000 0.0000
Cl: 0.0635 0.0635 0.0635
Cl: 0.5000 0.5000 0.5000
Cl: 0.9365 0.9365 0.9365

Entry 6:
This record from Alexandria describes an optimized crystal structure of SeCl. The functional is PBE.

**Total DFT energy (no corrections)**: -2.863 eV/atom
**D(E_F)**: 0.0 states/eV/f.u.
**Symmetry**: P2_1/c (14)

a b c (Å): 7.6403 15.6439 5.2040
angles (deg): 90.00 94.26 90.00
Positions (direct):
Se: 0.1286 0.1251 0.4076
Se: 0.1286 0.3749 0.9076
Se: 0.2866 0.0396 0.6802
Se: 0.2866 0.4604 0.1802
Se: 0.7134 0.5396 0.8198
Se: 0.7134 0.9604 0.3198
Se: 0.8714 0.6251 0.0924
Se: 0.8714 0.8749 0.5924
Cl: 0.1340 0.6428 0.9244
Cl: 0.1340 0.8572 0.4244
Cl: 0.4286 0.1260 0.9789
Cl: 0.4286 0.3740 0.4789
Cl: 0.5714 0.6260 0.5211
Cl: 0.5714 0.8740 0.0211
Cl: 0.8660 0.1428 0.5756
Cl: 0.8660 0.3572 0.0756

Entry 7:
This record from Alexandria describes an optimized crystal structure of SeCl. The functional is PBE.

**Total DFT energy (no corrections)**: -2.762 eV/atom
**D(E_F)**: 0.4 states/eV/f.u.
**Symmetry**: Cm (8)

a b c (Å): 6.1005 6.1005 8.8863
angles (deg): 94.92 94.92 43.16
Positions (direct):
Se: 0.0000 0.0000 0.0000
Se: 0.5026 0.5026 0.3102
Se: 0.9025 0.9025 0.2229
Cl: 0.2011 0.2011 0.1656
Cl: 0.4403 0.4403 0.5347
Cl: 0.8327 0.8327 0.8333

Entry 8:
This record from Alexandria describes an optimized crystal structure of SeCl5. The functional is PBE.

**Total DFT energy (no corrections)**: -1.494 eV/atom
**D(E_F)**: 6.0 states/eV/f.u.
**Symmetry**: P4/mmm (123)
**ΔE to the lowest computed polymorph**: 1.42 eV/f.u.

a b c (Å): 2.9624 2.9624 18.1340
angles (deg): 90.00 90.00 90.00
Positions (direct):
Se: 0.0000 0.0000 0.0000
Cl: 0.0000 0.0000 0.2775
Cl: 0.0000 0.0000 0.7225
Cl: 0.5000 0.5000 0.0997
Cl: 0.5000 0.5000 0.5000
Cl: 0.5000 0.5000 0.9003

Entry 9:
This record from Alexandria describes an optimized crystal structure of SeCl. The functional is PBE.

**Total DFT energy (no corrections)**: -2.546 eV/atom
**D(E_F)**: 1.9 states/eV/f.u.
**Symmetry**: Pmma (51)

a b c (Å): 3.4728 4.0649 7.9717
angles (deg): 90.00 90.00 90.00
Positions (direct):
Se: 0.2500 0.0000 0.1072
Se: 0.7500 0.0000 0.8928
Cl: 0.2500 0.5000 0.7229
Cl: 0.7500 0.5000 0.2771

Entry 10:
This record from Alexandria describes an optimized crystal structure of SeCl. The functional is PBE.

**Total DFT energy (no corrections)**: -2.856 eV/atom
**D(E_F)**: 0.0 states/eV/f.u.
**Symmetry**: P1 (1)

a b c (Å): 3.6337 4.8068 7.5958
angles (deg): 87.82 76.45 89.97
Positions (direct):
Se: 0.0000 0.0000 0.0000
Se: 0.4257 0.7100 0.1544
Cl: 0.2924 0.8946 0.4250
Cl: 0.5784 0.3272 0.8432

Entry 11:
This record from Alexandria describes an optimized crystal structure of Se3Cl4. The functional is PBE.

**Total DFT energy (no corrections)**: -2.062 eV/atom
**D(E_F)**: 6.0 states/eV/f.u.
**Symmetry**: P6/mmm (191)

a b c (Å): 5.9381 5.9381 4.8726
angles (deg): 90.00 90.00 120.00
Positions (direct):
Se: 0.0000 0.5000 0.0000
Se: 0.5000 0.0000 0.0000
Se: 0.5000 0.5000 0.0000
Cl: 0.0000 0.0000 0.2586
Cl: 0.0000 0.0000 0.7414
Cl: 0.3333 0.6667 0.5000
Cl: 0.6667 0.3333 0.5000

Entry 12:
This record from Alexandria describes an optimized crystal structure of SeCl. The functional is PBE.

**Total DFT energy (no corrections)**: -2.206 eV/atom
**D(E_F)**: 1.4 states/eV/f.u.
**Symmetry**: Fd-3m (227)

a b c (Å): 4.8376 4.8376 4.8376
angles (deg): 60.00 60.00 60.00
Positions (direct):
Se: 0.1250 0.1250 0.1250
Se: 0.8750 0.8750 0.8750
Cl: 0.3750 0.3750 0.3750
Cl: 0.6250 0.6250 0.6250

For the records above, the corresponding formation energy (no corrections) values read 0.092 0.794 0.163 0.109 0.210 -0.197 -0.096 0.625 0.120 -0.190 0.487 0.460 eV/atom.